[1]
CeEuGdSn: optimized geometry, PBE.

Its crystal system is cubic.

abc: 7.788 7.788 7.788
angles: 90.00 90.00 90.00
Space group F-43m (No. 216)
Inequivalent atoms, fractional coordinates:
Ce 0.000 0.000 0.000 [4 per cell]
Eu 0.250 0.250 0.750 [4 per cell]
Gd 0.000 0.000 0.500 [4 per cell]
Sn 0.250 0.250 0.250 [4 per cell]

[2]
TbCeEuGd: optimized geometry, PBE.

Its crystal system is cubic.

abc: 8.171 8.171 8.171
angles: 90.00 90.00 90.00
Space group F-43m (No. 216)
Inequivalent atoms, fractional coordinates:
Tb 0.000 0.000 0.000 [4 per cell]
Ce 0.250 0.250 0.250 [4 per cell]
Eu 0.250 0.250 0.750 [4 per cell]
Gd 0.000 0.000 0.500 [4 per cell]

[3]
CeEuGdY: optimized geometry, PBE.

Its crystal system is cubic.

abc: 8.196 8.196 8.196
angles: 90.00 90.00 90.00
Space group F-43m (No. 216)
Inequivalent atoms, fractional coordinates:
Ce 0.000 0.000 0.000 [4 per cell]
Eu 0.000 0.000 0.500 [4 per cell]
Gd 0.250 0.250 0.250 [4 per cell]
Y 0.250 0.250 0.750 [4 per cell]

no.,ΔH_f (0 K) (eV/atom),total energy (eV/cell),D(E_F) (states/eV per cell)
1,-0.21,-140.56,43.0
2,0.24,-135.76,52.9
3,0.22,-143.47,41.9